#1
ScMnCd: relaxed, GGA-PBE.

**Space-group type**: P-6m2
**M_tot**: 3.50 μB per formula unit

Lattice parameters (Å, degrees): 4.7227 4.7227 3.0940 90.00 90.00 120.00
Last column: magnetic moment on the atom in μB.
Atoms (fractional coordinates):
Cd1 0.0000 0.0000 0.1659  -0.03
Mn1 0.3333 0.6667 0.1675  3.60
Sc1 0.6667 0.3333 0.6666  -0.21

#2
ScMnCd: relaxed, GGA-PBE.

**Space-group type**: F-43m
**M_tot**: 3.32 μB per formula unit

Lattice parameters (Å, degrees): 4.5533 4.5533 4.5533 60.00 60.00 60.00
Last column: magnetic moment on the atom in μB.
Atoms (fractional coordinates):
Cd1 0.5000 0.5000 0.5000  -0.04
Mn1 0.7500 0.7500 0.7500  3.36
Sc1 0.0000 0.0000 0.0000  -0.11

We find #1 to be the most stable, with the next structure 312 meV/atom higher.

#1
ScMnCd: relaxed, GGA-PBE.

**Space-group type**: I4mm
**M_tot**: 2.91 μB per formula unit

Lattice parameters (Å, degrees): 6.3007 6.3005 3.1228 75.66 75.65 28.70
Last column: magnetic moment on the atom in μB.
Atoms (fractional coordinates):
Cd1 0.9882 0.9882 0.0118  -0.01
Mn1 0.3312 0.3312 0.6688  3.30
Sc1 0.6806 0.6806 0.3194  -0.35

#2
ScMnCd: relaxed, GGA-PBE.

**Space-group type**: F-43m
**M_tot**: 3.65 μB per formula unit

Lattice parameters (Å, degrees): 4.6672 4.6672 4.6672 60.00 60.00 60.00
Last column: magnetic moment on the atom in μB.
Atoms (fractional coordinates):
Cd1 0.0000 0.0000 0.0000  -0.05
Mn1 0.5000 0.5000 0.5000  3.77
Sc1 0.7500 0.7500 0.7500  -0.21

#3
ScMnCd: relaxed, GGA-PBE.

**Space-group type**: P3m1
**M_tot**: 2.69 μB per formula unit

Lattice parameters (Å, degrees): 3.1064 3.1064 7.0901 90.00 90.00 120.00
Last column: magnetic moment on the atom in μB.
Atoms (fractional coordinates):
Cd1 0.0000 0.0000 0.0142  -0.03
Mn1 0.3333 0.6667 0.3418  3.32
Sc1 0.6667 0.3333 0.6440  -0.44

We find #1 to be the most stable, with the next structure 163 meV/atom higher.

#1
Sc4MnCd: relaxed, GGA-PBE.

**Space-group type**: F-43m
**M_tot**: 3.74 μB per formula unit

Lattice parameters (Å, degrees): 5.7840 5.7840 5.7840 60.00 60.00 60.00
Last column: magnetic moment on the atom in μB.
Atoms (fractional coordinates):
Sc1 0.8773 0.3742 0.3742  -0.05
Sc2 0.3742 0.3742 0.8773  -0.05
Sc3 0.3742 0.8773 0.3742  -0.05
Sc4 0.3742 0.3742 0.3742  -0.05
Mn1 0.0000 0.0000 0.0000  3.90
Cd1 0.7500 0.7500 0.7500  -0.01

#2
Sc4MnCd: relaxed, GGA-PBE.

**Space-group type**: C2/c
**M_tot**: 0.14 μB per formula unit

Lattice parameters (Å, degrees): 5.6070 8.4082 7.2469 115.97 100.00 111.57
Last column: magnetic moment on the atom in μB.
Atoms (fractional coordinates):
Sc1 0.0731 0.1934 0.8351  -0.12
Sc2 0.7794 0.7286 0.6651  -0.11
Sc3 0.2621 0.6417 0.8351  -0.12
Sc4 0.3857 0.9365 0.6651  -0.11
Sc5 0.6143 0.0635 0.3349  -0.11
Sc6 0.7379 0.3583 0.1649  -0.12
Sc7 0.2206 0.2714 0.3349  -0.11
Sc8 0.9269 0.8066 0.1649  -0.12
Mn1 0.2486 0.9986 0.9971  0.85
Mn2 0.7514 0.0014 0.0029  0.85
Cd1 0.3746 0.6246 0.2492  0.00
Cd2 0.6254 0.3754 0.7508  0.00

We find #2 to be the most stable, with the next structure 481 meV/atom higher.

#1
Mn2CdSe: relaxed, GGA-PBE.

**Space-group type**: Amm2
**M_tot**: 6.57 μB per formula unit

Lattice parameters (Å, degrees): 4.4850 3.1124 5.4340 73.39 90.00 90.00
Last column: magnetic moment on the atom in μB.
Atoms (fractional coordinates):
Cd1 0.5000 0.6806 0.7641  -0.06
Mn1 0.0000 0.0420 0.0402  3.50
Mn2 0.5000 0.4262 0.2728  3.10
Se1 0.0000 0.3511 0.4229  -0.11

#2
Mn2CdSe: relaxed, GGA-PBE.

**Space-group type**: C2/m
**M_tot**: 7.67 μB per formula unit

Lattice parameters (Å, degrees): 4.6357 4.6357 3.3741 89.91 89.91 101.52
Last column: magnetic moment on the atom in μB.
Atoms (fractional coordinates):
Cd1 0.0000 0.5000 0.5000  -0.06
Mn1 0.0000 0.0000 0.0000  3.69
Mn2 0.5000 0.5000 0.0000  3.69
Se1 0.5000 0.0000 0.5000  -0.01

#3
Mn2CdSe: relaxed, GGA-PBE.

**Space-group type**: P4mm
**M_tot**: 6.31 μB per formula unit

Lattice parameters (Å, degrees): 3.2068 3.2068 7.2606 90.00 90.00 90.00
Last column: magnetic moment on the atom in μB.
Atoms (fractional coordinates):
Cd1 0.5000 0.5000 0.8077  -0.06
Mn1 0.0000 0.0000 0.0416  3.41
Mn2 0.5000 0.5000 0.2524  2.97
Se1 0.0000 0.0000 0.3983  -0.11

#4
Mn2CdSe: relaxed, GGA-PBE.

**Space-group type**: P2/m
**M_tot**: 8.04 μB per formula unit

Lattice parameters (Å, degrees): 3.6939 5.5981 5.4923 42.69 90.00 90.00
Last column: magnetic moment on the atom in μB.
Atoms (fractional coordinates):
Cd1 0.0000 0.0000 0.5000  -0.05
Mn1 0.0000 0.0000 0.0000  3.92
Mn2 0.5000 0.5000 0.0000  3.77
Se1 0.5000 0.5000 0.5000  0.02

We find #3 to be the most stable, with the next structure 162 meV/atom higher.

#1
Mn2CdSe: relaxed, GGA-PBE.

**Space-group type**: I4/mmm
**M_tot**: 7.71 μB per formula unit

Lattice parameters (Å, degrees): 5.0260 5.0260 5.0260 130.84 130.84 72.07
Last column: magnetic moment on the atom in μB.
Atoms (fractional coordinates):
Cd1 0.7500 0.2500 0.5000  -0.06
Mn1 0.0000 0.0000 0.0000  3.67
Mn2 0.5000 0.5000 0.0000  3.67
Se1 0.2500 0.7500 0.5000  0.02

#2
Mn2CdSe: relaxed, GGA-PBE.

**Space-group type**: Fm-3m
**M_tot**: 0.00 μB per formula unit

Lattice parameters (Å, degrees): 4.3330 4.3330 4.3330 60.00 60.00 60.00
Atoms (fractional coordinates):
Mn1 0.2500 0.2500 0.2500
Mn2 0.7500 0.7500 0.7500
Se1 0.0000 0.0000 0.0000
Cd1 0.5000 0.5000 0.5000

#3
Mn2CdSe: relaxed, GGA-PBE.

**Space-group type**: P4/mmm
**M_tot**: 7.60 μB per formula unit

Lattice parameters (Å, degrees): 3.3743 3.3743 6.0805 90.00 90.00 90.00
Last column: magnetic moment on the atom in μB.
Atoms (fractional coordinates):
Cd1 0.5000 0.5000 0.7500  -0.05
Mn1 0.0000 0.0000 0.0223  3.61
Mn2 0.0000 0.0000 0.4777  3.61
Se1 0.5000 0.5000 0.2500  0.03

We find #3 to be the most stable, with the next structure 100 meV/atom higher.

#1
MnCd3Se: relaxed, GGA-PBE.

**Space-group type**: Pm-3m
**M_tot**: 3.92 μB per formula unit

Lattice parameters (Å, degrees): 5.1890 5.1890 5.1890 90.00 90.00 90.00
Last column: magnetic moment on the atom in μB.
Atoms (fractional coordinates):
Mn1 0.0000 0.0000 0.0000  3.53
Se1 0.5000 0.5000 0.5000  0.08
Cd1 0.0000 0.5000 0.0000  -0.01
Cd2 0.0000 0.0000 0.5000  -0.02
Cd3 0.5000 0.0000 0.0000  0.00

#2
MnCd3Se: relaxed, GGA-PBE.

**Space-group type**: Pm-3m
**M_tot**: 4.69 μB per formula unit

Lattice parameters (Å, degrees): 5.3570 5.3570 5.3570 90.00 90.00 90.00
Last column: magnetic moment on the atom in μB.
Atoms (fractional coordinates):
Mn1 0.5000 0.5000 0.5000  4.39
Se1 0.0000 0.0000 0.0000  0.00
Cd1 0.0000 0.5000 0.0000  0.01
Cd2 0.0000 0.0000 0.5000  0.01
Cd3 0.5000 0.0000 0.0000  -0.01

We find #1 to be the most stable, with the next structure 139 meV/atom higher.

#1
MnCdSe4: relaxed, GGA-PBE.

**Space-group type**: F-43m
**M_tot**: 4.80 μB per formula unit

Lattice parameters (Å, degrees): 5.7707 5.7707 5.7707 60.00 60.00 60.00
Last column: magnetic moment on the atom in μB.
Atoms (fractional coordinates):
Mn1 0.0000 0.0000 0.0000  4.36
Cd1 0.7500 0.7500 0.7500  -0.04
Se1 0.8746 0.3751 0.3751  0.02
Se2 0.3751 0.3751 0.8746  0.02
Se3 0.3751 0.8746 0.3751  0.02
Se4 0.3751 0.3751 0.3751  0.02

#2
MnCdSe4: relaxed, GGA-PBE.

**Space-group type**: P2_1/c
**M_tot**: 3.15 μB per formula unit

Lattice parameters (Å, degrees): 6.4383 6.4288 6.4430 87.59 90.00 90.00
Last column: magnetic moment on the atom in μB.
Atoms (fractional coordinates):
Mn1 0.0000 0.0000 0.0000  3.31
Mn2 0.5000 0.5000 0.0000  3.31
Cd1 0.0000 0.5000 0.5000  0.02
Cd2 0.5000 0.0000 0.5000  0.02
Se1 0.6386 0.1398 0.0796  -0.14
Se2 0.1386 0.3602 0.9204  -0.14
Se3 0.4071 0.6020 0.3684  0.00
Se4 0.9071 0.8980 0.6316  0.00
Se5 0.3614 0.8602 0.9204  -0.14
Se6 0.8614 0.6398 0.0796  -0.14
Se7 0.5929 0.3980 0.6316  0.00
Se8 0.0929 0.1020 0.3684  0.00

We find #2 to be the most stable, with the next structure 874 meV/atom higher.

#1
MnCd2Si2: relaxed, GGA-PBE.

**Space-group type**: I4/mmm
**M_tot**: 4.50 μB per formula unit

Lattice parameters (Å, degrees): 4.2382 4.2382 6.4216 70.73 70.73 90.00
Last column: magnetic moment on the atom in μB.
Atoms (fractional coordinates):
Si1 0.4003 0.4003 0.1993  0.00
Si2 0.5997 0.5997 0.8007  0.00
Mn1 0.0000 0.0000 0.0000  4.18
Cd1 0.7500 0.2500 0.5000  0.01
Cd2 0.2500 0.7500 0.5000  0.01

#2
MnCd2Si2: relaxed, GGA-PBE.

**Space-group type**: P4/mbm
**M_tot**: 2.84 μB per formula unit

Lattice parameters (Å, degrees): 6.2957 6.2957 4.5861 90.00 90.00 90.00
Last column: magnetic moment on the atom in μB.
Atoms (fractional coordinates):
Si1 0.3665 0.8665 0.0000  -0.05
Si2 0.8665 0.6335 0.0000  -0.05
Si3 0.6335 0.1335 0.0000  -0.05
Si4 0.1335 0.3665 0.0000  -0.05
Mn1 0.0000 0.0000 0.0000  2.96
Mn2 0.5000 0.5000 0.0000  2.96
Cd1 0.1958 0.6958 0.5000  -0.03
Cd2 0.6958 0.8042 0.5000  -0.03
Cd3 0.8042 0.3042 0.5000  -0.03
Cd4 0.3042 0.1958 0.5000  -0.03

We find #2 to be the most stable, with the next structure 317 meV/atom higher.